# CdNiSn2Bi, relaxed, DFT GGA-PBE
# DOS at the Fermi energy   3.26 states/eV/cell
# E_form   82 meV per atom
# Spin magnetization   0.000 μB/atom
# Crystal system   tetragonal
data_CdNiSn2Bi
_symmetry_space_group_name_H-M 'P 4/m m m'
_symmetry_Int_Tables_number 123
_symmetry_space_group_name_Hall '-P 4 2'
_cell_length_a 4.989
_cell_length_b 4.989
_cell_length_c 5.134
_cell_angle_alpha 90.00
_cell_angle_beta 90.00
_cell_angle_gamma 90.00
loop_
_atom_site_label
_atom_site_type_symbol
_atom_site_fract_x
_atom_site_fract_y
_atom_site_fract_z
Cd1 Cd 0.000 0.000 0.000
Ni1 Ni 0.000 0.000 0.500
Sn1 Sn 0.000 0.500 0.500
Bi1 Bi 0.500 0.500 0.000

---

# NaIn12Ga6, relaxed, DFT GGA-PBE
# DOS at the Fermi energy   23.60 states/eV/cell
# E_form   44 meV per atom
# Spin magnetization   0.000 μB/atom
# Crystal system   trigonal
data_NaIn12Ga6
_symmetry_space_group_name_H-M 'R -3 m'
_symmetry_Int_Tables_number 166
_symmetry_space_group_name_Hall '-R 3 2"'
_cell_length_a 13.7419
_cell_length_b 13.7419
_cell_length_c 9.1964
_cell_angle_alpha 90.00
_cell_angle_beta 90.00
_cell_angle_gamma 120.00
loop_
_atom_site_label
_atom_site_type_symbol
_atom_site_fract_x
_atom_site_fract_y
_atom_site_fract_z
Na1 Na 0.0000 0.0000 0.0000
In1 In 0.0000 0.3885 0.5000
In2 In 0.0790 0.1579 0.3262
Ga1 Ga 0.0207 0.5103 0.2255